Entry P
! PBE LiCu2Mo, relaxed; values from VASP
! crystal system	trigonal
! N(E_F)	3.47	states/eV/f.u.
! spin magnetization	0.00	μB per formula unit
&SYSTEM
  ibrav = 0, nat = 4, ntyp = 3
/
ATOMIC_SPECIES
Li 6.94 Li.upf
Cu 63.55 Cu.upf
Mo 95.94 Mo.upf
CELL_PARAMETERS angstrom
1.331 0.768 8.962
-1.331 0.768 8.962
0.000 -1.537 8.962
ATOMIC_POSITIONS angstrom
Li 0.000 0.000 0.000
Cu 0.000 0.000 6.759
Cu 0.000 0.000 20.127
Mo 0.000 0.000 13.443

Entry Q
! PBE LiCu2Mo, relaxed; values from VASP
! crystal system	monoclinic
! N(E_F)	3.26	states/eV/f.u.
! spin magnetization	0.40	μB per formula unit
&SYSTEM
  ibrav = 0, nat = 4, ntyp = 3
/
ATOMIC_SPECIES
Li 6.94 Li.upf
Cu 63.55 Cu.upf
Mo 95.94 Mo.upf
CELL_PARAMETERS angstrom
4.814 -1.271 0.000
4.814 1.271 0.000
-1.189 0.000 4.486
ATOMIC_POSITIONS angstrom
Li 0.000 0.000 0.000
Cu 3.882 0.000 2.180
Cu 7.140 0.000 0.604
Mo 1.295 0.000 2.757

Entry R
! PBE LiCu2Mo, relaxed; values from VASP
! crystal system	orthorhombic
! N(E_F)	2.09	states/eV/f.u.
! spin magnetization	0.00	μB per formula unit
&SYSTEM
  ibrav = 0, nat = 4, ntyp = 3
/
ATOMIC_SPECIES
Li 6.94 Li.upf
Cu 63.55 Cu.upf
Mo 95.94 Mo.upf
CELL_PARAMETERS angstrom
2.516 0.000 0.000
0.000 3.935 0.000
0.000 0.000 5.430
ATOMIC_POSITIONS angstrom
Li 0.000 0.000 0.000
Cu 0.000 0.000 2.892
Cu 1.258 1.968 4.335
Mo 1.258 1.968 1.662

Entry S
! PBE LiCu2Mo, relaxed; values from VASP
! crystal system	orthorhombic
! N(E_F)	3.07	states/eV/f.u.
! spin magnetization	0.00	μB per formula unit
&SYSTEM
  ibrav = 0, nat = 4, ntyp = 3
/
ATOMIC_SPECIES
Li 6.94 Li.upf
Cu 63.55 Cu.upf
Mo 95.94 Mo.upf
CELL_PARAMETERS angstrom
1.843 -1.854 0.000
1.843 1.854 0.000
0.000 0.000 7.898
ATOMIC_POSITIONS angstrom
Li 0.000 0.000 0.000
Cu 1.843 0.000 1.930
Cu 1.843 0.000 5.968
Mo 0.000 0.000 3.949

Which structure loses on stability? entry R does.

Entry P
! PBE LiCu2Mo, relaxed; values from VASP
! crystal system	monoclinic
! N(E_F)	2.57	states/eV/f.u.
! spin magnetization	0.42	μB per formula unit
&SYSTEM
  ibrav = 0, nat = 4, ntyp = 3
/
ATOMIC_SPECIES
Li 6.94 Li.upf
Cu 63.55 Cu.upf
Mo 95.94 Mo.upf
CELL_PARAMETERS angstrom
4.329 -1.256 0.000
4.329 1.256 0.000
-0.545 0.000 4.976
ATOMIC_POSITIONS angstrom
Li 0.000 0.000 0.000
Cu 1.733 0.000 3.767
Cu 6.379 0.000 1.210
Mo 4.056 0.000 2.488

Entry Q
! PBE LiCu2Mo, relaxed; values from VASP
! crystal system	tetragonal
! N(E_F)	4.73	states/eV/f.u.
! spin magnetization	0.00	μB per formula unit
&SYSTEM
  ibrav = 0, nat = 8, ntyp = 3
/
ATOMIC_SPECIES
Li 6.94 Li.upf
Cu 63.55 Cu.upf
Mo 95.94 Mo.upf
CELL_PARAMETERS angstrom
-3.289 3.289 2.529
3.289 -3.289 2.529
3.289 3.289 -2.529
ATOMIC_POSITIONS angstrom
Li 0.000 0.000 0.000
Li 0.000 3.289 1.265
Cu 1.644 1.463 -0.632
Cu 1.825 -1.644 3.162
Cu 1.644 1.825 1.897
Cu 1.463 4.933 0.632
Mo 3.289 0.000 1.265
Mo 0.000 0.000 2.529

Entry R
! PBE LiCu2Mo, relaxed; values from VASP
! crystal system	monoclinic
! N(E_F)	1.81	states/eV/f.u.
! spin magnetization	0.00	μB per formula unit
&SYSTEM
  ibrav = 0, nat = 4, ntyp = 3
/
ATOMIC_SPECIES
Li 6.94 Li.upf
Cu 63.55 Cu.upf
Mo 95.94 Mo.upf
CELL_PARAMETERS angstrom
2.512 0.000 0.000
0.000 3.843 0.000
-0.162 0.000 5.619
ATOMIC_POSITIONS angstrom
Li 0.000 0.000 0.000
Cu 1.185 1.921 1.422
Cu 1.165 1.921 4.198
Mo -0.081 0.000 2.810

Which structure loses on stability? entry Q does.

Entry P
! PBE LiCu3Mo, relaxed; values from VASP
! crystal system	cubic
! N(E_F)	4.40	states/eV/f.u.
! spin magnetization	0.00	μB per formula unit
&SYSTEM
  ibrav = 0, nat = 5, ntyp = 3
/
ATOMIC_SPECIES
Li 6.94 Li.upf
Cu 63.55 Cu.upf
Mo 95.94 Mo.upf
CELL_PARAMETERS angstrom
4.739 0.000 0.000
0.000 4.739 0.000
0.000 0.000 4.739
ATOMIC_POSITIONS angstrom
Li 0.000 0.000 0.000
Cu 0.000 2.370 2.370
Cu 2.370 0.000 2.370
Cu 2.370 2.370 0.000
Mo 2.370 2.370 2.370

Entry Q
! PBE LiCu3Mo, relaxed; values from VASP
! crystal system	cubic
! N(E_F)	5.59	states/eV/f.u.
! spin magnetization	0.38	μB per formula unit
&SYSTEM
  ibrav = 0, nat = 5, ntyp = 3
/
ATOMIC_SPECIES
Li 6.94 Li.upf
Cu 63.55 Cu.upf
Mo 95.94 Mo.upf
CELL_PARAMETERS angstrom
4.007 0.000 0.000
0.000 4.007 0.000
0.000 0.000 4.007
ATOMIC_POSITIONS angstrom
Li 0.000 0.000 0.000
Cu 0.000 0.000 2.004
Cu 0.000 2.004 0.000
Cu 2.004 0.000 0.000
Mo 2.004 2.004 2.004

Which structure loses on stability? entry P does.

Entry P
! PBE LiCuMo3, relaxed; values from VASP
! crystal system	cubic
! N(E_F)	2.84	states/eV/f.u.
! spin magnetization	0.00	μB per formula unit
&SYSTEM
  ibrav = 0, nat = 5, ntyp = 3
/
ATOMIC_SPECIES
Li 6.94 Li.upf
Cu 63.55 Cu.upf
Mo 95.94 Mo.upf
CELL_PARAMETERS angstrom
4.555 0.000 0.000
0.000 4.555 0.000
0.000 0.000 4.555
ATOMIC_POSITIONS angstrom
Li 0.000 0.000 0.000
Cu 2.278 2.278 2.278
Mo 0.000 2.278 2.278
Mo 2.278 0.000 2.278
Mo 2.278 2.278 0.000

Entry Q
! PBE LiCuMo3, relaxed; values from VASP
! crystal system	cubic
! N(E_F)	3.10	states/eV/f.u.
! spin magnetization	0.00	μB per formula unit
&SYSTEM
  ibrav = 0, nat = 5, ntyp = 3
/
ATOMIC_SPECIES
Li 6.94 Li.upf
Cu 63.55 Cu.upf
Mo 95.94 Mo.upf
CELL_PARAMETERS angstrom
4.184 0.000 0.000
0.000 4.184 0.000
0.000 0.000 4.184
ATOMIC_POSITIONS angstrom
Li 0.000 0.000 0.000
Cu 2.092 2.092 2.092
Mo 0.000 0.000 2.092
Mo 0.000 2.092 0.000
Mo 2.092 0.000 0.000

Which structure loses on stability? entry P does.

Entry P
! PBE LiCuPb2N, relaxed; values from VASP
! crystal system	tetragonal
! N(E_F)	2.58	states/eV/f.u.
! spin magnetization	0.00	μB per formula unit
&SYSTEM
  ibrav = 0, nat = 5, ntyp = 4
/
ATOMIC_SPECIES
Li 6.94 Li.upf
Cu 63.55 Cu.upf
Pb 207.20 Pb.upf
N 14.01 N.upf
CELL_PARAMETERS angstrom
5.609 0.000 0.000
0.000 5.609 0.000
0.000 0.000 3.451
ATOMIC_POSITIONS angstrom
Li 0.000 0.000 0.000
Cu 2.804 2.804 1.725
Pb 0.000 2.804 1.725
Pb 2.804 0.000 1.725
N 2.804 2.804 0.000

Entry Q
! PBE LiCuPb2N, relaxed; values from VASP
! crystal system	tetragonal
! N(E_F)	1.70	states/eV/f.u.
! spin magnetization	0.00	μB per formula unit
&SYSTEM
  ibrav = 0, nat = 5, ntyp = 4
/
ATOMIC_SPECIES
Li 6.94 Li.upf
Cu 63.55 Cu.upf
Pb 207.20 Pb.upf
N 14.01 N.upf
CELL_PARAMETERS angstrom
5.211 0.000 0.000
0.000 5.211 0.000
0.000 0.000 3.477
ATOMIC_POSITIONS angstrom
Li 0.000 0.000 0.000
Cu 2.606 2.606 1.738
Pb 0.000 2.606 0.000
Pb 2.606 0.000 0.000
N 0.000 0.000 1.738

Which structure loses on stability? entry Q does.

Entry P
! PBE LiCuRh2N, relaxed; values from VASP
! crystal system	tetragonal
! N(E_F)	4.08	states/eV/f.u.
! spin magnetization	0.00	μB per formula unit
&SYSTEM
  ibrav = 0, nat = 5, ntyp = 4
/
ATOMIC_SPECIES
Li 6.94 Li.upf
Cu 63.55 Cu.upf
Rh 102.91 Rh.upf
N 14.01 N.upf
CELL_PARAMETERS angstrom
3.946 0.000 0.000
0.000 3.946 0.000
0.000 0.000 3.987
ATOMIC_POSITIONS angstrom
Li 0.000 0.000 0.000
Cu 1.973 1.973 0.000
Rh 0.000 1.973 1.993
Rh 1.973 0.000 1.993
N 0.000 0.000 1.993

Entry Q
! PBE LiCuRh2N, relaxed; values from VASP
! crystal system	tetragonal
! N(E_F)	2.91	states/eV/f.u.
! spin magnetization	0.00	μB per formula unit
&SYSTEM
  ibrav = 0, nat = 5, ntyp = 4
/
ATOMIC_SPECIES
Li 6.94 Li.upf
Cu 63.55 Cu.upf
Rh 102.91 Rh.upf
N 14.01 N.upf
CELL_PARAMETERS angstrom
4.011 0.000 0.000
0.000 4.011 0.000
0.000 0.000 3.927
ATOMIC_POSITIONS angstrom
Li 0.000 0.000 0.000
Cu 2.006 2.006 0.000
Rh 0.000 2.006 1.964
Rh 2.006 0.000 1.964
N 2.006 2.006 1.964

Which structure loses on stability? entry Q does.

Entry P
! PBE Na2Li2Cu, relaxed; values from VASP
! crystal system	tetragonal
! N(E_F)	2.60	states/eV/f.u.
! spin magnetization	0.00	μB per formula unit
&SYSTEM
  ibrav = 0, nat = 10, ntyp = 3
/
ATOMIC_SPECIES
Na 22.99 Na.upf
Li 6.94 Li.upf
Cu 63.55 Cu.upf
CELL_PARAMETERS angstrom
7.314 0.000 0.000
0.000 7.314 0.000
0.000 0.000 4.603
ATOMIC_POSITIONS angstrom
Na 1.058 2.600 0.000
Na 2.600 6.257 0.000
Na 4.715 1.058 0.000
Na 6.257 4.715 0.000
Li 1.289 4.946 2.302
Li 2.369 1.289 2.302
Li 4.946 6.026 2.302
Li 6.026 2.369 2.302
Cu 0.000 0.000 0.000
Cu 3.657 3.657 0.000

Entry Q
! PBE Na2Li2Cu, relaxed; values from VASP
! crystal system	tetragonal
! N(E_F)	1.65	states/eV/f.u.
! spin magnetization	0.00	μB per formula unit
&SYSTEM
  ibrav = 0, nat = 10, ntyp = 3
/
ATOMIC_SPECIES
Na 22.99 Na.upf
Li 6.94 Li.upf
Cu 63.55 Cu.upf
CELL_PARAMETERS angstrom
6.677 0.000 0.000
0.000 6.677 0.000
0.000 0.000 5.144
ATOMIC_POSITIONS angstrom
Na 1.230 2.108 0.000
Na 2.108 5.447 0.000
Na 4.569 1.230 0.000
Na 5.447 4.569 0.000
Li 1.003 4.342 2.572
Li 2.336 1.003 2.572
Li 4.342 5.674 2.572
Li 5.674 2.336 2.572
Cu 0.000 0.000 2.572
Cu 3.339 3.339 2.572

Which structure loses on stability? entry P does.

Entry P
! PBE NaLi2Cu2, relaxed; values from VASP
! crystal system	tetragonal
! N(E_F)	1.49	states/eV/f.u.
! spin magnetization	0.00	μB per formula unit
&SYSTEM
  ibrav = 0, nat = 10, ntyp = 3
/
ATOMIC_SPECIES
Na 22.99 Na.upf
Li 6.94 Li.upf
Cu 63.55 Cu.upf
CELL_PARAMETERS angstrom
7.735 0.000 0.000
0.000 7.735 0.000
0.000 0.000 2.690
ATOMIC_POSITIONS angstrom
Na 0.000 0.000 0.000
Na 3.867 3.867 0.000
Li 1.003 2.864 0.000
Li 2.864 6.731 0.000
Li 4.871 1.003 0.000
Li 6.731 4.871 0.000
Cu 1.242 5.110 1.345
Cu 2.625 1.242 1.345
Cu 5.110 6.493 1.345
Cu 6.493 2.625 1.345

Entry Q
! PBE NaLi2Cu2, relaxed; values from VASP
! crystal system	tetragonal
! N(E_F)	1.54	states/eV/f.u.
! spin magnetization	0.00	μB per formula unit
&SYSTEM
  ibrav = 0, nat = 5, ntyp = 3
/
ATOMIC_SPECIES
Na 22.99 Na.upf
Li 6.94 Li.upf
Cu 63.55 Cu.upf
CELL_PARAMETERS angstrom
-2.036 2.036 5.633
2.036 -2.036 5.633
2.036 2.036 -5.633
ATOMIC_POSITIONS angstrom
Na 0.000 0.000 0.000
Li 2.036 0.000 2.816
Li 0.000 2.036 2.816
Cu 0.000 0.000 4.444
Cu 0.000 0.000 6.822

Entry R
! PBE NaLi2Cu2, relaxed; values from VASP
! crystal system	tetragonal
! N(E_F)	1.40	states/eV/f.u.
! spin magnetization	0.00	μB per formula unit
&SYSTEM
  ibrav = 0, nat = 10, ntyp = 3
/
ATOMIC_SPECIES
Na 22.99 Na.upf
Li 6.94 Li.upf
Cu 63.55 Cu.upf
CELL_PARAMETERS angstrom
7.790 0.000 0.000
0.000 7.790 0.000
0.000 0.000 2.662
ATOMIC_POSITIONS angstrom
Na 0.000 0.000 0.000
Na 3.895 3.895 0.000
Li 1.340 2.555 1.331
Li 2.555 6.450 1.331
Li 5.235 1.340 1.331
Li 6.450 5.235 1.331
Cu 0.900 4.795 0.000
Cu 2.995 0.900 0.000
Cu 4.795 6.890 0.000
Cu 6.890 2.995 0.000

Which structure loses on stability? entry Q does.

Entry P
! PBE NaSr2LiCu, relaxed; values from VASP
! crystal system	tetragonal
! N(E_F)	3.10	states/eV/f.u.
! spin magnetization	0.00	μB per formula unit
&SYSTEM
  ibrav = 0, nat = 5, ntyp = 4
/
ATOMIC_SPECIES
Na 22.99 Na.upf
Sr 87.62 Sr.upf
Li 6.94 Li.upf
Cu 63.55 Cu.upf
CELL_PARAMETERS angstrom
5.974 0.000 0.000
0.000 5.974 0.000
0.000 0.000 5.501
ATOMIC_POSITIONS angstrom
Na 0.000 0.000 0.000
Sr 0.000 2.987 2.751
Sr 2.987 0.000 2.751
Li 2.987 2.987 0.000
Cu 0.000 0.000 2.751

Entry Q
! PBE NaSr2LiCu, relaxed; values from VASP
! crystal system	tetragonal
! N(E_F)	1.82	states/eV/f.u.
! spin magnetization	0.00	μB per formula unit
&SYSTEM
  ibrav = 0, nat = 5, ntyp = 4
/
ATOMIC_SPECIES
Na 22.99 Na.upf
Sr 87.62 Sr.upf
Li 6.94 Li.upf
Cu 63.55 Cu.upf
CELL_PARAMETERS angstrom
6.063 0.000 0.000
0.000 6.063 0.000
0.000 0.000 5.006
ATOMIC_POSITIONS angstrom
Na 0.000 0.000 0.000
Sr 0.000 3.032 2.503
Sr 3.032 0.000 2.503
Li 3.032 3.032 0.000
Cu 3.032 3.032 2.503

Which structure loses on stability? entry P does.

Entry P
! PBE Li3NbCu, relaxed; values from VASP
! crystal system	cubic
! N(E_F)	4.03	states/eV/f.u.
! spin magnetization	0.00	μB per formula unit
&SYSTEM
  ibrav = 0, nat = 5, ntyp = 3
/
ATOMIC_SPECIES
Li 6.94 Li.upf
Nb 92.91 Nb.upf
Cu 63.55 Cu.upf
CELL_PARAMETERS angstrom
4.294 0.000 0.000
0.000 4.294 0.000
0.000 0.000 4.294
ATOMIC_POSITIONS angstrom
Li 0.000 0.000 2.147
Li 0.000 2.147 0.000
Li 2.147 0.000 0.000
Nb 2.147 2.147 2.147
Cu 0.000 0.000 0.000

Entry Q
! PBE Li3NbCu, relaxed; values from VASP
! crystal system	cubic
! N(E_F)	3.15	states/eV/f.u.
! spin magnetization	4.78	μB per formula unit
&SYSTEM
  ibrav = 0, nat = 5, ntyp = 3
/
ATOMIC_SPECIES
Li 6.94 Li.upf
Nb 92.91 Nb.upf
Cu 63.55 Cu.upf
CELL_PARAMETERS angstrom
5.047 0.000 0.000
0.000 5.047 0.000
0.000 0.000 5.047
ATOMIC_POSITIONS angstrom
Li 0.000 0.000 2.524
Li 0.000 2.524 0.000
Li 2.524 0.000 0.000
Nb 0.000 0.000 0.000
Cu 2.524 2.524 2.524

Which structure loses on stability? entry Q does.

Entry P
! PBE LiNbCu3, relaxed; values from VASP
! crystal system	cubic
! N(E_F)	4.35	states/eV/f.u.
! spin magnetization	1.27	μB per formula unit
&SYSTEM
  ibrav = 0, nat = 5, ntyp = 3
/
ATOMIC_SPECIES
Li 6.94 Li.upf
Nb 92.91 Nb.upf
Cu 63.55 Cu.upf
CELL_PARAMETERS angstrom
4.082 0.000 0.000
0.000 4.082 0.000
0.000 0.000 4.082
ATOMIC_POSITIONS angstrom
Li 0.000 0.000 0.000
Nb 2.041 2.041 2.041
Cu 0.000 0.000 2.041
Cu 0.000 2.041 0.000
Cu 2.041 0.000 0.000

Entry Q
! PBE LiNbCu3, relaxed; values from VASP
! crystal system	cubic
! N(E_F)	4.37	states/eV/f.u.
! spin magnetization	0.00	μB per formula unit
&SYSTEM
  ibrav = 0, nat = 5, ntyp = 3
/
ATOMIC_SPECIES
Li 6.94 Li.upf
Nb 92.91 Nb.upf
Cu 63.55 Cu.upf
CELL_PARAMETERS angstrom
4.854 0.000 0.000
0.000 4.854 0.000
0.000 0.000 4.854
ATOMIC_POSITIONS angstrom
Li 0.000 0.000 0.000
Nb 2.427 2.427 2.427
Cu 0.000 2.427 2.427
Cu 2.427 0.000 2.427
Cu 2.427 2.427 0.000

Which structure loses on stability? entry Q does.